First-principles (PBE) data for crystalline CsBiAsSe2 at its relaxed geometry, as listed in Alexandria via LeMat-Bulk.

As for the total magnetization: 1.82 μB/cell. As for the energy above the lowest structure with this stoichiometry: 0.00 kcal/mol of atoms. For the raw formation energy, the calculation gives -0.037 eV per atom. The value obtained for the calculated volume is 37.20 A^3/atom.

The space group is P4/mmm (No. 123) and the conventional cell measures 5.748, 5.748 and 5.630 Å, with angles of 90.00, 90.00 and 90.00 degrees. Symmetry generates all atoms from Cs at (0.000, 0.000, 0.000), Bi at (0.500, 0.500, 0.500), As at (0.500, 0.500, 0.000) and Se at (0.000, 0.500, 0.500).